# FeHgB2C | the Alexandria database | PBEsol | relaxed
# E_tot: -4.867 eV/atom
# Formation energy: 171 kJ/mol of atoms
data_FeHgB2C
_chemical_formula_sum 'Fe1 Hg1 B2 C1'
_symmetry_space_group_name_H-M 'P 4/m m m'
_symmetry_Int_Tables_number 123
_symmetry_space_group_name_Hall '-P 4 2'
_cell_length_a 3.345
_cell_length_b 3.345
_cell_length_c 5.769
_cell_angle_alpha 90.00
_cell_angle_beta 90.00
_cell_angle_gamma 90.00
loop_
_atom_site_label
_atom_site_type_symbol
_atom_site_fract_x
_atom_site_fract_y
_atom_site_fract_z
Fe1 Fe 0.000 0.000 0.000
Hg1 Hg 0.500 0.500 0.000
B1 B 0.000 0.500 0.500
C1 C 0.500 0.500 0.500

# Al2IrSe | the Alexandria database | PBEsol | relaxed
# E_tot: -5.778 eV/atom
# ΔE_f (raw): -0.31 eV per atom
data_Al2IrSe
_chemical_formula_sum 'Al2 Ir1 Se1'
_symmetry_space_group_name_H-M 'P 1 2/m 1'
_symmetry_Int_Tables_number 10
_cell_length_a 3.248
_cell_length_b 3.253
_cell_length_c 5.930
_cell_angle_alpha 90.00
_cell_angle_beta 97.33
_cell_angle_gamma 90.00
loop_
_symmetry_equiv_pos_as_xyz
'x,y,z'
'-x,-y,-z'
'-x,y,-z'
'x,-y,z'
loop_
_atom_site_label
_atom_site_type_symbol
_atom_site_fract_x
_atom_site_fract_y
_atom_site_fract_z
Al1 Al 0.032 0.000 0.228
Ir1 Ir 0.500 0.500 0.000
Se1 Se 0.500 0.500 0.500

# Ba2LaInSi | the Alexandria database | PBEsol | relaxed
# E_tot: -3.678 eV/atom
# ΔE_f (raw): 0.00 eV per atom
data_Ba2LaInSi
_chemical_formula_sum 'Ba2 La1 In1 Si1'
_symmetry_space_group_name_H-M 'P 4/m m m'
_symmetry_Int_Tables_number 123
_symmetry_space_group_name_Hall '-P 4 2'
_cell_length_a 6.232
_cell_length_b 6.232
_cell_length_c 5.610
_cell_angle_alpha 90.00
_cell_angle_beta 90.00
_cell_angle_gamma 90.00
loop_
_atom_site_label
_atom_site_type_symbol
_atom_site_fract_x
_atom_site_fract_y
_atom_site_fract_z
Ba1 Ba 0.000 0.500 0.000
La1 La 0.000 0.000 0.500
In1 In 0.500 0.500 0.500
Si1 Si 0.000 0.000 0.000

Looking at total magnetic moment for the records above, in order, we have 2.7; 0.0; 0.0 μB per cell.